Below is a relaxed structure of PrHo5Sb6, with properties calculated at the GGA-PBE level.

a = 7.6235 Å, b = 7.6232 Å, c = 7.6249 Å
α = 60.01°, β = 80.39°, γ = 70.49°
With the nearest neighbours (Å) after each atom.
Element x y z (fractional)
Pr1 0.0000 0.0000 0.0000  6 Sb 3.17-3.18
Ho1 0.0000 0.6677 0.6646  6 Sb 3.10-3.11
Ho2 0.5000 0.1637 0.6727  6 Sb 3.08-3.12
Ho3 0.5000 0.8363 0.3273  6 Sb 3.08-3.12
Ho4 0.0000 0.3323 0.3354  6 Sb 3.10-3.11
Ho5 0.5000 0.5000 0.0000  6 Sb 3.06-3.11
Sb1 0.7449 0.0853 0.3400  5 Ho 3.08-3.12, 1 Pr 3.18
Sb2 0.2551 0.5747 0.3400  5 Ho 3.08-3.12, 1 Pr 3.18
Sb3 0.7479 0.7435 0.0000  5 Ho 3.06-3.11, 1 Pr 3.17
Sb4 0.2551 0.9147 0.6600  5 Ho 3.08-3.12, 1 Pr 3.18
Sb5 0.2521 0.2565 0.0000  5 Ho 3.06-3.11, 1 Pr 3.17
Sb6 0.7449 0.4253 0.6600  5 Ho 3.08-3.12, 1 Pr 3.18

Symmetry: C2/m (12)
Uncorrected formation energy: -108.12 kJ/mol of atoms
Electronic total energy: -65.9 eV per cell